# GdGePt2

A relaxed structure of GdGePt2 (PBE, OQMD via LeMat-Bulk).

Cell: 4.1658 6.5436 5.6883 Å, 90.00 90.00 90.00°
Closest atoms and distances in Å follow each position.
Positions (direct):
Gd1 0.0000 0.0795 0.0000  7 Pt 2.93-3.20, 2 Ge 3.25
Gd2 0.5000 0.9205 0.5000  7 Pt 2.93-3.20, 2 Ge 3.25
Ge1 0.0000 0.6114 0.2447  6 Pt 2.60-2.80
Ge2 0.5000 0.3886 0.7447  6 Pt 2.60-2.80
Pt1 0.0000 0.2556 0.5184  3 Ge 2.60-2.80, 3 Pt 2.78-2.87
Pt2 0.0000 0.6617 0.7085  3 Ge 2.66-2.75, 3 Pt 2.78-2.87, 2 Gd 2.93
Pt3 0.5000 0.3383 0.2085  3 Ge 2.66-2.75, 3 Pt 2.78-2.87, 2 Gd 2.93
Pt4 0.5000 0.7444 0.0184  3 Ge 2.60-2.80, 3 Pt 2.78-2.87

Properties
SG: Pmn2_1, No. 31
Electronic total energy, eV/atom: -6.24
ρ, kg/m³: 13281